1.
This record from Alexandria via LeMat-Bulk describes a relaxed structure of Lu5Re2O12. The functional is PBE-GGA.

a = 6.701 Å, b = 6.701 Å, c = 7.389 Å
α = 73.82°, β = 73.82°, γ = 49.37°
Each line ends with the local moment (μB).
Positions (direct):
Lu (0.314, 0.314, 0.821)  0.00
O (0.099, 0.595, 0.571)  0.00
O (0.913, 0.424, 0.911)  0.04
Re (0.785, 0.215, 0.000)  0.25
Re (0.215, 0.785, 0.000)  0.25
O (0.087, 0.576, 0.089)  0.04
O (0.576, 0.087, 0.089)  0.04
O (0.901, 0.405, 0.429)  0.00
O (0.996, 0.996, 0.791)  -0.01
Lu (0.000, 0.000, 0.500)  0.00
Lu (0.686, 0.686, 0.179)  0.00
O (0.500, 0.500, 0.183)  0.00
Lu (0.302, 0.302, 0.360)  0.00
O (0.424, 0.913, 0.911)  0.04
O (0.004, 0.004, 0.209)  -0.01
Lu (0.698, 0.698, 0.640)  0.00
O (0.405, 0.901, 0.429)  0.00
O (0.595, 0.099, 0.571)  0.00
O (0.500, 0.500, 0.817)  0.00



2.
This record from Alexandria via LeMat-Bulk describes a relaxed structure of Lu2ReO. The functional is PBE-GGA.

a = 3.075 Å, b = 3.075 Å, c = 8.566 Å
α = 79.66°, β = 79.66°, γ = 60.00°
Positions (direct):
Re (0.000, 0.000, 0.000)
Lu (0.108, 0.108, 0.677)
O (0.500, 0.500, 0.500)
Lu (0.892, 0.892, 0.323)



3.
This record from Alexandria via LeMat-Bulk describes a relaxed structure of Lu2RhO. The functional is PBE-GGA.

a = 3.372 Å, b = 3.372 Å, c = 7.132 Å
α = 76.33°, β = 76.33°, γ = 60.00°
Positions (direct):
Lu (0.762, 0.762, 0.713)
Rh (0.000, 0.000, 0.000)
Lu (0.238, 0.238, 0.287)
O (0.500, 0.500, 0.500)



4.
This record from Alexandria via LeMat-Bulk describes a relaxed structure of Lu2RhO. The functional is PBE-GGA.

a = 3.085 Å, b = 3.085 Å, c = 6.830 Å
α = 90.00°, β = 90.00°, γ = 90.00°
Positions (direct):
Lu (0.000, 0.000, 0.233)
Lu (0.000, 0.000, 0.767)
Rh (0.500, 0.500, 0.500)
O (0.500, 0.500, 0.000)



5.
This record from Alexandria via LeMat-Bulk describes a relaxed structure of LuRhO3. The functional is PBE-GGA.

a = 5.209 Å, b = 5.720 Å, c = 7.582 Å
α = 90.00°, β = 90.00°, γ = 90.00°
Positions (direct):
O (0.675, 0.312, 0.069)
O (0.147, 0.439, 0.250)
Rh (0.000, 0.500, 0.000)
O (0.175, 0.188, 0.569)
Lu (0.967, 0.086, 0.250)
O (0.825, 0.812, 0.069)
Lu (0.533, 0.586, 0.250)
O (0.175, 0.188, 0.931)
O (0.325, 0.688, 0.569)
Lu (0.033, 0.914, 0.750)
Rh (0.500, 0.000, 0.000)
Rh (0.500, 0.000, 0.500)
O (0.825, 0.812, 0.431)
O (0.325, 0.688, 0.931)
O (0.675, 0.312, 0.431)
O (0.853, 0.561, 0.750)
O (0.647, 0.061, 0.750)
Rh (0.000, 0.500, 0.500)
Lu (0.467, 0.414, 0.750)
O (0.353, 0.939, 0.250)



6.
This record from Alexandria via LeMat-Bulk describes a relaxed structure of LuU2S3O2. The functional is PBE-GGA.

a = 10.819 Å, b = 10.819 Å, c = 10.819 Å
α = 159.87°, β = 159.87°, γ = 28.61°
Each line ends with the local moment (μB).
Positions (direct):
S (0.873, 0.873, 0.000)  -0.04
U (0.314, 0.314, 0.000)  2.34
O (0.250, 0.750, 0.500)  -0.06
S (0.500, 0.500, 0.000)  -0.01
Lu (0.000, 0.000, 0.000)  0.02
O (0.750, 0.250, 0.500)  -0.06
U (0.686, 0.686, 0.000)  2.34
S (0.127, 0.127, 0.000)  -0.04



no.,DFT total energy (eV/atom)
1,-8.593
2,-7.332
3,-7.092
4,-6.757
5,-7.542
6,-8.498